1.
Below is a relaxed Li2GaCu4 crystal, with properties calculated at the GGA-PBE level.

- calculated density (g/cm3) = 6.27
- energy (eV per cell) = -23.80
- M_tot (μB per formula unit) = 0.00
- energy of formation from the pure elements (eV/atom) = -0.08
- crystal system = orthorhombic

Structure (CIF):
```
data_Li2GaCu4
_space_group_name_H-M_alt 'P 1'
_space_group_IT_number 1
_space_group_name_Hall 'P 1'
_cell_length_a 8.541
_cell_length_b 8.541
_cell_length_c 2.540
_cell_angle_alpha 90.00
_cell_angle_beta 90.00
_cell_angle_gamma 151.15
loop_
_atom_site_label
_atom_site_type_symbol
_atom_site_fract_x
_atom_site_fract_y
_atom_site_fract_z
Li1 Li 0.075 0.925 0.000
Li2 Li 0.925 0.075 0.000
Ga1 Ga 0.500 0.500 0.500
Cu1 Cu 0.211 0.789 0.500
Cu2 Cu 0.347 0.653 0.000
Cu3 Cu 0.653 0.347 0.000
Cu4 Cu 0.789 0.211 0.500
```



2.
Below is a relaxed Li3Ga9Cu2 crystal, with properties calculated at the GGA-PBE level.

- calculated density (g/cm3) = 5.50
- energy (eV per cell) = -43.63
- M_tot (μB per formula unit) = 0.00
- energy of formation from the pure elements (eV/atom) = -0.18
- crystal system = orthorhombic

Structure (CIF):
```
data_Li3Ga9Cu2
_space_group_name_H-M_alt 'P 1'
_space_group_IT_number 1
_space_group_name_Hall 'P 1'
_cell_length_a 7.910
_cell_length_b 7.910
_cell_length_c 7.910
_cell_angle_alpha 150.09
_cell_angle_beta 104.15
_cell_angle_gamma 83.61
loop_
_atom_site_label
_atom_site_type_symbol
_atom_site_fract_x
_atom_site_fract_y
_atom_site_fract_z
Li1 Li 0.000 0.000 0.000
Li2 Li 0.293 0.293 0.000
Li3 Li 0.707 0.707 0.000
Ga1 Ga 0.006 0.636 0.370
Ga2 Ga 0.147 0.854 0.293
Ga3 Ga 0.265 0.636 0.630
Ga4 Ga 0.440 0.146 0.293
Ga5 Ga 0.500 0.000 0.500
Ga6 Ga 0.560 0.854 0.707
Ga7 Ga 0.735 0.364 0.370
Ga8 Ga 0.853 0.146 0.707
Ga9 Ga 0.994 0.364 0.630
Cu1 Cu 0.339 0.500 0.839
Cu2 Cu 0.661 0.500 0.161
```



3.
Below is a relaxed Li6Ga2Cu crystal, with properties calculated at the GGA-PBE level.

- calculated density (g/cm3) = 2.79
- energy (eV per cell) = -22.97
- M_tot (μB per formula unit) = 0.00
- energy of formation from the pure elements (eV/atom) = -0.15
- crystal system = monoclinic

Structure (CIF):
```
data_Li6Ga2Cu
_space_group_name_H-M_alt 'P 1'
_space_group_IT_number 1
_space_group_name_Hall 'P 1'
_cell_length_a 7.701
_cell_length_b 7.701
_cell_length_c 3.036
_cell_angle_alpha 94.71
_cell_angle_beta 94.71
_cell_angle_gamma 124.85
loop_
_atom_site_label
_atom_site_type_symbol
_atom_site_fract_x
_atom_site_fract_y
_atom_site_fract_z
Li1 Li 0.003 0.656 0.683
Li2 Li 0.195 0.195 0.843
Li3 Li 0.344 0.997 0.317
Li4 Li 0.656 0.003 0.683
Li5 Li 0.805 0.805 0.157
Li6 Li 0.997 0.344 0.317
Ga1 Ga 0.351 0.649 0.000
Ga2 Ga 0.649 0.351 0.000
Cu1 Cu 0.500 0.500 0.500
```